(1)
Material: K2BeIr
Method: DFT, PBE-GGA
State: relaxed

Computed properties:
SG	I-42d (122)
formation energy from the elements	1.118	eV/atom

abc: 3.841 3.841 11.470
angles: 80.36 80.36 90.00
Element x y z (fractional)
Be (0.500, 0.500, 0.000)
Be (0.250, 0.750, 0.500)
K (0.624, 0.125, 0.250)
K (0.126, 0.625, 0.250)
K (0.375, 0.376, 0.750)
K (0.875, 0.874, 0.750)
Ir (0.000, 0.000, 0.000)
Ir (0.750, 0.250, 0.500)

(2)
Material: K2BeIr
Method: DFT, PBE-GGA
State: relaxed

Computed properties:
SG	P4/mmm (123)
formation energy from the elements	1.080	eV/atom

abc: 4.403 4.403 5.161
angles: 90.00 90.00 90.00
Site moments in Bohr magnetons follow the coordinates.
Element x y z (fractional)
Be (0.500, 0.500, 0.250)  -0.01
K (0.000, 0.000, 0.998)  -0.01
K (0.000, 0.000, 0.502)  -0.01
Ir (0.500, 0.500, 0.750)  0.36

(3)
Material: K2BeIr
Method: DFT, PBE-GGA
State: relaxed

Computed properties:
SG	Immm (71)
formation energy from the elements	0.199	eV/atom

abc: 10.156 10.156 10.156
angles: 161.49 161.75 26.11
Element x y z (fractional)
Be (0.750, 0.250, 0.500)
K (0.108, 0.108, 0.000)
K (0.392, 0.392, 0.000)
Ir (0.250, 0.750, 0.500)

(4)
Material: KBeIr
Method: DFT, PBE-GGA
State: relaxed

Computed properties:
SG	P3m1 (156)
ΔE to the lowest computed polymorph	492	meV/atom
formation energy from the elements	0.564	eV/atom

abc: 2.917 2.917 7.297
angles: 90.00 90.00 120.00
Element x y z (fractional)
Be (0.000, 0.000, 0.068)
K (0.333, 0.667, 0.655)
Ir (0.667, 0.333, 0.277)

(5)
Material: K2BeIr
Method: DFT, PBE-GGA
State: relaxed

Computed properties:
SG	Cmmm (65)
formation energy from the elements	1.054	eV/atom

abc: 6.357 5.581 3.646
angles: 90.00 55.00 112.47
Element x y z (fractional)
Be (0.000, 0.500, 0.500)
K (0.000, 0.000, 0.000)
K (0.500, 0.000, 0.500)
Ir (0.500, 0.500, 0.000)

(6)
Material: K2BeIr
Method: DFT, PBE-GGA
State: relaxed

Computed properties:
SG	F-43m (216)
formation energy from the elements	1.003	eV/atom

abc: 4.976 4.976 4.976
angles: 60.00 60.00 60.00
Element x y z (fractional)
Be (0.500, 0.500, 0.500)
K (0.000, 0.000, 0.000)
K (0.250, 0.250, 0.250)
Ir (0.750, 0.750, 0.750)

(7)
Material: K2BeIr
Method: DFT, PBE-GGA
State: relaxed

Computed properties:
SG	R-3m (166)
formation energy from the elements	1.116	eV/atom

abc: 11.483 11.483 11.483
angles: 14.67 14.67 14.67
Site moments in Bohr magnetons follow the coordinates.
Element x y z (fractional)
Be (0.250, 0.250, 0.250)  0.00
K (0.005, 0.005, 0.005)  0.00
K (0.495, 0.495, 0.495)  0.00
Ir (0.750, 0.750, 0.750)  0.14

(8)
Material: K2BeIr
Method: DFT, PBE-GGA
State: relaxed

Computed properties:
SG	Pmmm (47)
formation energy from the elements	1.001	eV/atom

abc: 4.364 3.381 5.413
angles: 90.00 90.00 90.00
Element x y z (fractional)
Be (0.500, 0.000, 0.500)
K (0.000, 0.000, 0.000)
K (0.500, 0.500, 0.000)
Ir (0.000, 0.500, 0.500)

(9)
Material: K2BeIr
Method: DFT, PBE-GGA
State: relaxed

Computed properties:
SG	P2/m (10)
formation energy from the elements	0.660	eV/atom

abc: 4.937 7.382 8.463
angles: 30.13 90.00 90.00
Element x y z (fractional)
Be (0.500, 0.250, 0.250)
K (0.000, 0.751, 0.986)
K (0.000, 0.749, 0.514)
Ir (0.500, 0.750, 0.750)

(10)
Material: K2BeIr
Method: DFT, PBE-GGA
State: relaxed

Computed properties:
SG	Imm2 (44)
formation energy from the elements	0.419	eV/atom

abc: 6.077 6.077 6.077
angles: 143.08 125.19 67.92
Element x y z (fractional)
Be (0.419, 0.419, 0.000)
K (0.027, 0.027, 0.000)
K (0.721, 0.221, 0.500)
Ir (0.333, 0.833, 0.500)

(11)
Material: K2BeIr
Method: DFT, PBE-GGA
State: relaxed

Computed properties:
SG	Pm (6)
formation energy from the elements	0.190	eV/atom

abc: 3.230 3.231 9.943
angles: 82.62 90.00 90.00
Element x y z (fractional)
Be (0.000, 0.251, 0.617)
K (0.000, 0.143, 0.908)
K (0.500, 0.362, 0.340)
Ir (0.500, 0.744, 0.635)

(12)
Material: KLa2BeIr
Method: DFT, PBE-GGA
State: relaxed

Computed properties:
SG	P4/mmm (123)
formation energy from the elements	0.397	eV/atom

abc: 5.479 6.134 5.479
angles: 90.00 90.00 90.00
Element x y z (fractional)
Be (0.500, 0.500, 0.500)
K (0.000, 0.500, 0.000)
Ir (0.000, 0.000, 0.000)
La (0.000, 0.000, 0.500)
La (0.500, 0.000, 0.000)

(13)
Material: KMnBeIr2
Method: DFT, PBE-GGA
State: relaxed

Computed properties:
SG	P4/mmm (123)
formation energy from the elements	3.138	eV/atom

abc: 4.681 4.092 4.681
angles: 90.00 90.00 90.00
Site moments in Bohr magnetons follow the coordinates.
Element x y z (fractional)
Be (0.000, 0.500, 0.000)  0.01
K (0.000, 0.000, 0.000)  0.01
Ir (0.000, 0.000, 0.500)  -0.07
Ir (0.500, 0.000, 0.000)  0.03
Mn (0.500, 0.500, 0.500)  -0.03

(14)
Material: K2BeIrO4
Method: DFT, PBE-GGA
State: relaxed

Computed properties:
SG	Fddd (70)
formation energy without anion corrections	-1.317	eV per atom

abc: 5.226 6.306 10.021
angles: 83.80 74.88 65.52
Site moments in Bohr magnetons follow the coordinates.
Element x y z (fractional)
K (0.177, 0.000, 0.646)  0.00
K (0.823, 0.000, 0.354)  0.00
K (0.573, 0.500, 0.854)  0.00
K (0.927, 0.500, 0.146)  0.00
Be (0.250, 0.500, 0.500)  0.00
Be (0.500, 0.000, 0.000)  0.00
Ir (0.750, 0.500, 0.500)  0.56
Ir (0.000, 0.000, 0.000)  0.56
O (0.331, 0.837, 0.078)  0.10
O (0.246, 0.163, 0.922)  0.10
O (0.832, 0.837, 0.922)  0.10
O (0.590, 0.163, 0.078)  0.10
O (0.419, 0.663, 0.422)  0.10
O (0.504, 0.337, 0.578)  0.10
O (0.918, 0.663, 0.578)  0.10
O (0.160, 0.337, 0.422)  0.10

(15)
Material: KBeIrO5
Method: DFT, PBE-GGA
State: relaxed

Computed properties:
SG	C2/c (15)
formation energy without anion corrections	-1.174	eV per atom

abc: 5.616 5.616 7.268
angles: 105.66 105.66 105.29
Site moments in Bohr magnetons follow the coordinates.
Element x y z (fractional)
K (0.339, 0.661, 0.250)  0.00
K (0.661, 0.339, 0.750)  0.00
Be (0.694, 0.306, 0.250)  0.00
Be (0.306, 0.694, 0.750)  0.00
Ir (0.000, 0.000, 0.500)  0.49
Ir (0.000, 0.000, 0.000)  0.49
O (0.067, 0.933, 0.250)  0.01
O (0.933, 0.067, 0.750)  0.01
O (0.892, 0.283, 0.121)  0.18
O (0.108, 0.717, 0.879)  0.18
O (0.717, 0.108, 0.379)  0.18
O (0.283, 0.892, 0.621)  0.18
O (0.782, 0.631, 0.398)  0.12
O (0.218, 0.369, 0.602)  0.12
O (0.369, 0.218, 0.102)  0.12
O (0.631, 0.782, 0.898)  0.12

(16)
Material: K2BePIr
Method: DFT, PBE-GGA
State: relaxed

Computed properties:
SG	P4/mmm (123)
formation energy from the elements	0.724	eV/atom

abc: 6.295 3.751 6.295
angles: 90.00 90.00 90.00
Site moments in Bohr magnetons follow the coordinates.
Element x y z (fractional)
P (0.000, 0.500, 0.000)  0.02
K (0.000, 0.000, 0.500)  0.00
K (0.500, 0.000, 0.000)  0.00
Ir (0.500, 0.500, 0.500)  1.60
Be (0.000, 0.000, 0.000)  0.00

(17)
Material: KBeV2Ir
Method: DFT, PBE-GGA
State: relaxed

Computed properties:
SG	P4/mmm (123)
formation energy from the elements	0.736	eV/atom

abc: 4.847 4.590 4.847
angles: 90.00 90.00 90.00
Site moments in Bohr magnetons follow the coordinates.
Element x y z (fractional)
Be (0.000, 0.500, 0.000)  -0.04
K (0.500, 0.500, 0.500)  0.04
Ir (0.000, 0.000, 0.000)  -0.18
V (0.000, 0.000, 0.500)  1.87
V (0.500, 0.000, 0.000)  2.39

(18)
Material: KBeZnIr2
Method: DFT, PBE-GGA
State: relaxed

Computed properties:
SG	P4/mmm (123)
formation energy from the elements	1.152	eV/atom

abc: 4.735 4.353 4.735
angles: 90.00 90.00 90.00
Element x y z (fractional)
Be (0.000, 0.500, 0.000)
Zn (0.000, 0.000, 0.000)
Ir (0.000, 0.000, 0.500)
Ir (0.500, 0.000, 0.000)
K (0.500, 0.500, 0.500)

(19)
Material: LaBe2Ir
Method: DFT, PBE-GGA
State: relaxed

Computed properties:
SG	P2/m (10)
ΔE to the lowest computed polymorph	348	meV/atom
formation energy from the elements	-0.102	eV/atom

abc: 4.013 3.019 5.699
angles: 77.00 90.00 90.00
Element x y z (fractional)
Be (0.000, 0.060, 0.102)
Be (0.000, 0.440, 0.398)
Ir (0.500, 0.250, 0.250)
La (0.500, 0.750, 0.750)

(20)
Material: La2BeIr
Method: DFT, PBE-GGA
State: relaxed

Computed properties:
SG	Imm2 (44)
formation energy from the elements	-0.311	eV/atom

abc: 6.266 6.266 6.266
angles: 145.40 138.00 55.51
Element x y z (fractional)
Be (0.430, 0.430, 0.000)
Ir (0.314, 0.814, 0.500)
La (0.021, 0.021, 0.000)
La (0.735, 0.235, 0.500)

| no. | total DFT energy (no corrections) (eV/atom) | theoretical density (g/cm3) |
| --- | --- | --- |
| 1 | -2.58 | 5.64 |
| 2 | -2.62 | 4.64 |
| 3 | -3.50 | 4.46 |
| 4 | -4.00 | 7.42 |
| 5 | -2.64 | 4.95 |
| 6 | -2.69 | 5.32 |
| 7 | -2.58 | 5.48 |
| 8 | -2.69 | 5.81 |
| 9 | -3.04 | 3.00 |
| 10 | -3.28 | 4.28 |
| 11 | -3.51 | 4.51 |
| 12 | -4.31 | 4.67 |
| 13 | -3.21 | 9.03 |
| 14 | -5.64 | 3.93 |
| 15 | -5.98 | 5.37 |
| 16 | -3.31 | 3.47 |
| 17 | -5.65 | 5.27 |
| 18 | -3.61 | 8.47 |
| 19 | -5.41 | 8.62 |
| 20 | -5.92 | 8.57 |